DFT (GGA-PBE) results for an optimized crystal structure of TlZn2Hg.

a = 4.2034 Å, b = 3.8516 Å, c = 5.8850 Å
α = 70.36°, β = 90.00°, γ = 90.00°
With the nearest neighbours (Å) after each atom.
Fractional coordinates of all 4 atoms:
Tl (0.5000, 0.7851, 0.8096)  7 Zn 2.93-3.26
Zn (0.0000, 0.1932, 0.9886)  2 Zn 2.66
Zn (0.5000, 0.0463, 0.2814)  2 Zn 2.66, 1 Tl 2.93, 4 Hg 2.95
Hg (0.0000, 0.4754, 0.4204)  7 Zn 2.95-3.15

Results
Its polymorph energy (0 for the lowest one) is 0 meV per atom. For the formation enthalpy at 0 K, the calculation gives 0.118 eV per atom.

DFT (GGA-PBE) results for an optimized crystal structure of TlZn2Hg.

a = 6.2880 Å, b = 6.2880 Å, c = 6.2880 Å
α = 150.21°, β = 132.89°, γ = 56.74°
With the nearest neighbours (Å) after each atom.
Fractional coordinates of all 4 atoms:
Hg (0.5168, 0.5168, 0.0000)  6 Zn 3.02-3.36, 2 Hg 3.23
Tl (0.2258, 0.7258, 0.5000)  6 Zn 3.05-3.22, 2 Tl 3.23, 2 Hg 3.42
Zn (0.9744, 0.9744, 0.0000)  2 Zn 2.66
Zn (0.7830, 0.2830, 0.5000)  2 Zn 2.66

Results
Its polymorph energy (0 for the lowest one) is 31 meV per atom. For the formation enthalpy at 0 K, the calculation gives 0.149 eV per atom.

DFT (GGA-PBE) results for an optimized crystal structure of Tl2ZnHg.

a = 3.6321 Å, b = 3.6321 Å, c = 9.7113 Å
α = 79.22°, β = 79.22°, γ = 60.00°
With the nearest neighbours (Å) after each atom.
Fractional coordinates of all 4 atoms:
Tl (0.2570, 0.2570, 0.2291)  3 Zn 3.04, 3 Hg 3.33
Tl (0.0761, 0.0761, 0.7716)  3 Zn 2.99, 3 Hg 3.30
Hg (0.4992, 0.4992, 0.5023)  6 Tl 3.30-3.33, 6 Hg 3.63
Zn (0.6677, 0.6677, 0.9970)  6 Tl 2.99-3.04

Results
Its polymorph energy (0 for the lowest one) is 32 meV per atom. For the formation enthalpy at 0 K, the calculation gives 0.104 eV per atom.

The V results, record by record, are as follows: 90 90 108 Å³/cell.